Entry 1:
# SrLiCa3

SrLiCa3 at its PBEsol-relaxed geometry (meta-GGA SCAN, Alexandria).

abc: 6.396 6.396 6.396
angles: 90.00 90.00 90.00
Last column: magnetic moment on the atom in μB.
Atoms (fractional coordinates):
1 Sr 0.000 0.000 0.000  0.43
2 Ca 0.000 0.500 0.000  0.20
3 Ca 0.000 0.000 0.500  0.20
4 Ca 0.500 0.000 0.000  0.20
5 Li 0.500 0.500 0.500  0.00

- Total energy: -49.183 eV/f.u.
- Total magnetization: 3.85 μB per cell
- Energy of formation from the pure elements: 0.8945 eV per atom


Entry 2:
# WCNF2

WCNF2 at its PBEsol-relaxed geometry (meta-GGA SCAN, Alexandria).

abc: 3.868 3.989 3.989
angles: 90.00 90.00 90.00
Last column: magnetic moment on the atom in μB.
Atoms (fractional coordinates):
1 C 0.500 0.500 0.500  0.97
2 N 0.500 0.000 0.000  -0.19
3 W 0.000 0.000 0.000  0.98
4 F 0.000 0.000 0.500  0.07
5 F 0.000 0.500 0.000  0.07

- Formation energy from raw total energies: 40.12 kJ per mole of atoms
- Total energy: -94.080 eV/f.u.
- Total magnetization: 2.92 μB per cell


Entry 3:
# SrLiBe2As

SrLiBe2As at its PBEsol-relaxed geometry (meta-GGA SCAN, Alexandria).

abc: 5.497 5.497 5.550
angles: 90.00 90.00 90.00
Atoms (fractional coordinates):
1 Sr 0.000 0.000 0.000
2 As 0.000 0.000 0.500
3 Li 0.500 0.500 0.500
4 Be 0.000 0.500 0.000
5 Be 0.500 0.000 0.000

- Total energy: -46.644 eV/f.u.
- Total magnetization: 0.00 μB per cell
- Energy of formation from the pure elements: 1.3839 eV per atom


Entry 4:
# Mn3InC

Mn3InC at its PBEsol-relaxed geometry (meta-GGA SCAN, Alexandria).

abc: 3.861 3.861 3.861
angles: 90.00 90.00 90.00
Last column: magnetic moment on the atom in μB.
Atoms (fractional coordinates):
1 C 0.000 0.000 0.000  -0.21
2 Mn 0.000 0.500 0.000  2.98
3 Mn 0.000 0.000 0.500  2.98
4 Mn 0.500 0.000 0.000  2.98
5 In 0.500 0.500 0.500  -0.24

- Total energy: -98.715 eV/f.u.
- Total magnetization: 8.57 μB per cell
- Energy of formation from the pure elements: -0.0927 eV per atom


Entry 5:
# WSeO3

WSeO3 at its PBEsol-relaxed geometry (meta-GGA SCAN, Alexandria).

abc: 3.934 3.934 3.934
angles: 90.00 90.00 90.00
Last column: magnetic moment on the atom in μB.
Atoms (fractional coordinates):
1 O 0.000 0.500 0.000  0.14
2 O 0.000 0.000 0.500  0.14
3 O 0.500 0.000 0.000  0.14
4 Se 0.500 0.500 0.500  1.44
5 W 0.000 0.000 0.000  0.18

- Formation energy from raw total energies: -94.49 kJ per mole of atoms
- Total energy: -113.357 eV/f.u.
- Total magnetization: 2.77 μB per cell


Entry 6:
# LiCaI2N

LiCaI2N at its PBEsol-relaxed geometry (meta-GGA SCAN, Alexandria).

abc: 4.013 5.463 5.463
angles: 90.00 90.00 90.00
Last column: magnetic moment on the atom in μB.
Atoms (fractional coordinates):
1 I 0.000 0.000 0.500  0.06
2 I 0.000 0.500 0.000  0.06
3 Ca 0.500 0.500 0.500  0.00
4 Li 0.000 0.000 0.000  -0.02
5 N 0.500 0.000 0.000  1.23

- Formation energy from raw total energies: -33.70 kJ per mole of atoms
- Total energy: -96.574 eV/f.u.
- Total magnetization: 2.05 μB per cell


Entry 7:
# Ti2MoPd

Ti2MoPd at its PBEsol-relaxed geometry (meta-GGA SCAN, Alexandria).

abc: 4.391 4.391 4.391
angles: 60.00 60.00 60.00
Atoms (fractional coordinates):
1 Mo 0.500 0.500 0.500
2 Pd 0.000 0.000 0.000
3 Ti 0.250 0.250 0.250
4 Ti 0.750 0.750 0.750

- Total energy: -101.626 eV/f.u.
- Total magnetization: 0.00 μB per cell
- Energy of formation from the pure elements: -0.4768 eV per atom


Entry 8:
# Re2HgGe

Re2HgGe at its PBEsol-relaxed geometry (meta-GGA SCAN, Alexandria).

abc: 4.447 4.447 4.447
angles: 60.00 60.00 60.00
Atoms (fractional coordinates):
1 Re 0.250 0.250 0.250
2 Re 0.750 0.750 0.750
3 Ge 0.000 0.000 0.000
4 Hg 0.500 0.500 0.500

- Total energy: -225.558 eV/f.u.
- Total magnetization: 0.00 μB per cell
- Energy of formation from the pure elements: 0.9726 eV per atom